(1)
Ta3InSi | meta-GGA SCAN | single point on PBEsol structure

a b c (Å): 4.910 4.910 4.910
angles (deg): 90.00 90.00 90.00
Positions (direct):
Ta (0.500, 0.000, 0.000)
Ta (0.000, 0.000, 0.500)
Ta (0.000, 0.500, 0.000)
Si (0.500, 0.500, 0.500)
In (0.000, 0.000, 0.000)

## Properties
Total magnetization = 1.4 μB per formula unit
Formation energy without anion corrections = 2.43 eV per atom
Total DFT energy (no corrections) = -46.20 eV/atom
DOS at the Fermi energy = 1.071 states/eV/atom

=====

(2)
BaCd3Ga | meta-GGA SCAN | single point on PBEsol structure

a b c (Å): 4.733 4.733 6.628
angles (deg): 110.92 110.92 90.00
Positions (direct):
Cd (0.612, 0.612, 0.224)
Cd (0.756, 0.256, 0.513)
Ga (0.379, 0.379, 0.758)
Cd (0.256, 0.756, 0.513)
Ba (0.997, 0.997, 0.993)

## Properties
Total magnetization = 0.0 μB per formula unit
Total DFT energy (no corrections) = -29.81 eV/atom
DOS at the Fermi energy = 0.500 states/eV/atom
E_form = -382 meV/atom

=====

(3)
TlAgTe3 | meta-GGA SCAN | single point on PBEsol structure

a b c (Å): 5.412 5.412 5.412
angles (deg): 90.00 90.00 90.00
Positions (direct):
Te (0.000, 0.000, 0.500)
Ag (0.000, 0.000, 0.000)
Te (0.500, 0.000, 0.000)
Te (0.000, 0.500, 0.000)
Tl (0.500, 0.500, 0.500)

## Properties
Total magnetization = 0.0 μB per formula unit
Formation energy without anion corrections = 0.25 eV per atom
Total DFT energy (no corrections) = -42.85 eV/atom
DOS at the Fermi energy = 0.974 states/eV/atom

=====

(4)
TcTe2N | meta-GGA SCAN | single point on PBEsol structure

a b c (Å): 3.151 3.151 8.536
angles (deg): 79.36 79.36 60.00
Positions (direct):
N (0.500, 0.500, 0.500)
Tc (0.000, 0.000, 0.000)
Te (0.899, 0.899, 0.304)
Te (0.101, 0.101, 0.696)

## Properties
Total magnetization = 0.5 μB per formula unit
Formation energy without anion corrections = 1.38 eV per atom
Relative energy among the computed polymorphs = 13.98 kcal/mol of atoms
Total DFT energy (no corrections) = -28.33 eV/atom
DOS at the Fermi energy = 0.678 states/eV/atom

=====

(5)
KBaN3 | meta-GGA SCAN | single point on PBEsol structure

a b c (Å): 5.138 5.138 5.138
angles (deg): 90.00 90.00 90.00
Positions (direct):
N (0.000, 0.000, 0.500)
N (0.000, 0.500, 0.000)
Ba (0.000, 0.000, 0.000)
K (0.500, 0.500, 0.500)
N (0.500, 0.000, 0.000)

## Properties
Total magnetization = 6.0 μB per formula unit
Formation energy without anion corrections = 1.40 eV per atom
Total DFT energy (no corrections) = -13.75 eV/atom
DOS at the Fermi energy = 0.690 states/eV/atom

=====

(6)
MgBiSb2 | meta-GGA SCAN | single point on PBEsol structure

a b c (Å): 6.594 6.594 8.288
angles (deg): 113.44 113.44 90.00
Positions (direct):
Sb (0.125, 0.149, 0.750)
Sb (0.851, 0.375, 0.250)
Mg (0.500, 0.500, 0.000)
Mg (0.750, 0.250, 0.500)
Bi (0.250, 0.750, 0.500)
Bi (0.000, 0.000, 0.000)
Sb (0.399, 0.875, 0.250)
Sb (0.625, 0.601, 0.750)

## Properties
Total magnetization = 0.0 μB per formula unit
Formation energy without anion corrections = 0.03 eV per atom
Total DFT energy (no corrections) = -39.49 eV/atom
DOS at the Fermi energy = 0.838 states/eV/atom

=====

(7)
Tc2PbW | meta-GGA SCAN | single point on PBEsol structure

a b c (Å): 4.523 4.523 4.523
angles (deg): 60.00 60.00 60.00
Positions (direct):
Tc (0.250, 0.250, 0.250)
Tc (0.000, 0.000, 0.000)
W (0.750, 0.750, 0.750)
Pb (0.500, 0.500, 0.500)

## Properties
Total magnetization = 1.5 μB per formula unit
Total DFT energy (no corrections) = -53.07 eV/atom
DOS at the Fermi energy = 1.000 states/eV/atom
E_form = 832 meV/atom

=====

(8)
Cr2Pt | meta-GGA SCAN | single point on PBEsol structure

a b c (Å): 2.893 2.893 4.967
angles (deg): 106.93 106.93 90.00
Positions (direct):
Pt (0.000, 0.000, 0.000)
Cr (0.309, 0.309, 0.617)
Cr (0.691, 0.691, 0.383)

## Properties
Total magnetization = 0.0 μB per formula unit
Total DFT energy (no corrections) = -35.66 eV/atom
DOS at the Fermi energy = 0.979 states/eV/atom
E_form = -2 meV/atom

=====

(9)
HPt2S | meta-GGA SCAN | single point on PBEsol structure

a b c (Å): 4.110 4.110 4.110
angles (deg): 60.00 60.00 60.00
Positions (direct):
H (0.000, 0.000, 0.000)
S (0.500, 0.500, 0.500)
Pt (0.750, 0.750, 0.750)
Pt (0.250, 0.250, 0.250)

## Properties
Total magnetization = 0.0 μB per formula unit
Total DFT energy (no corrections) = -37.57 eV/atom
DOS at the Fermi energy = 0.861 states/eV/atom

=====

(10)
Cd2PbW | meta-GGA SCAN | single point on PBEsol structure

a b c (Å): 2.926 5.113 5.669
angles (deg): 90.00 104.95 90.00
Positions (direct):
W (0.000, 0.500, 0.500)
Cd (0.193, 0.000, 0.271)
Pb (0.500, 0.500, 0.000)
Cd (0.807, 0.000, 0.729)

## Properties
Total magnetization = 0.0 μB per formula unit
Total DFT energy (no corrections) = -50.81 eV/atom
DOS at the Fermi energy = 0.556 states/eV/atom
E_form = 769 meV/atom

=====

(11)
Nd3Bi4Au3 | meta-GGA SCAN | single point on PBEsol structure

a b c (Å): 8.794 8.794 8.794
angles (deg): 109.47 109.47 109.47
Positions (direct):
Bi (0.180, 0.000, 0.000)
Nd (0.750, 0.625, 0.875)
Nd (0.125, 0.250, 0.375)
Bi (0.000, 0.500, 0.180)
Bi (0.500, 0.680, 0.500)
Bi (0.320, 0.320, 0.820)
Nd (0.625, 0.375, 0.250)
Au (0.250, 0.375, 0.125)
Bi (0.000, 0.500, 0.680)
Nd (0.875, 0.125, 0.750)
Bi (0.500, 0.180, 0.500)
Au (0.375, 0.625, 0.750)
Nd (0.250, 0.875, 0.625)
Au (0.875, 0.750, 0.625)
Au (0.625, 0.250, 0.875)
Au (0.750, 0.125, 0.375)
Bi (0.680, 0.000, 0.000)
Au (0.125, 0.875, 0.250)
Nd (0.375, 0.750, 0.125)
Bi (0.820, 0.820, 0.320)

## Properties
Total magnetization = 0.0 μB per formula unit
Total DFT energy (no corrections) = -66.18 eV/atom
E_form = -928 meV/atom

=====

(12)
KNb3Fe | meta-GGA SCAN | single point on PBEsol structure

a b c (Å): 4.529 4.529 4.529
angles (deg): 90.00 90.00 90.00
Positions (direct):
Nb (0.500, 0.000, 0.000)
K (0.000, 0.000, 0.000)
Nb (0.000, 0.000, 0.500)
Nb (0.000, 0.500, 0.000)
Fe (0.500, 0.500, 0.500)

## Properties
Total magnetization = 3.8 μB per formula unit
Total DFT energy (no corrections) = -22.36 eV/atom
DOS at the Fermi energy = 1.311 states/eV/atom
E_form = 2809 meV/atom

=====

(13)
LaFeCo2 | meta-GGA SCAN | single point on PBEsol structure

a b c (Å): 3.044 4.475 5.229
angles (deg): 115.33 106.92 90.00
Positions (direct):
Co (0.029, 0.029, 0.059)
Fe (0.469, 0.469, 0.938)
Co (0.750, 0.250, 0.499)
La (0.252, 0.752, 0.504)

## Properties
Total magnetization = 5.4 μB per formula unit
Total DFT energy (no corrections) = -23.58 eV/atom
DOS at the Fermi energy = 0.602 states/eV/atom
E_form = 379 meV/atom

=====

(14)
La2FeSe | meta-GGA SCAN | single point on PBEsol structure

a b c (Å): 3.630 4.433 6.314
angles (deg): 110.55 106.70 90.00
Positions (direct):
Se (0.438, 0.438, 0.877)
La (0.252, 0.752, 0.505)
Fe (0.785, 0.285, 0.569)
La (0.025, 0.025, 0.050)

## Properties
Total magnetization = 1.5 μB per formula unit
Formation energy without anion corrections = -0.60 eV per atom
Total DFT energy (no corrections) = -31.70 eV/atom
DOS at the Fermi energy = 0.843 states/eV/atom

=====

(15)
RbSiH2 | meta-GGA SCAN | single point on PBEsol structure

a b c (Å): 4.415 4.415 4.415
angles (deg): 60.00 60.00 60.00
Positions (direct):
H (0.750, 0.750, 0.750)
Rb (0.500, 0.500, 0.500)
H (0.250, 0.250, 0.250)
Si (0.000, 0.000, 0.000)

## Properties
Total magnetization = 1.0 μB per formula unit
Total DFT energy (no corrections) = -8.43 eV/atom
DOS at the Fermi energy = 0.216 states/eV/atom

=====

(16)
YZn2Pd2 | meta-GGA SCAN | single point on PBEsol structure

a b c (Å): 3.791 3.791 6.670
angles (deg): 106.51 106.51 90.00
Positions (direct):
Y (0.000, 0.000, 0.000)
Zn (0.250, 0.750, 0.500)
Pd (0.391, 0.391, 0.783)
Zn (0.750, 0.250, 0.500)
Pd (0.609, 0.609, 0.217)

## Properties
Total magnetization = 0.0 μB per formula unit
Total DFT energy (no corrections) = -24.76 eV/atom
DOS at the Fermi energy = 0.397 states/eV/atom
E_form = -679 meV/atom

=====

(17)
TlAu | meta-GGA SCAN | single point on PBEsol structure

a b c (Å): 3.862 4.214 5.842
angles (deg): 90.00 109.99 90.00
Positions (direct):
Au (0.424, 0.250, 0.331)
Tl (0.147, 0.250, 0.800)
Tl (0.853, 0.750, 0.200)
Au (0.576, 0.750, 0.669)

## Properties
Total magnetization = 0.0 μB per formula unit
Total DFT energy (no corrections) = -70.81 eV/atom
DOS at the Fermi energy = 0.275 states/eV/atom
E_form = -51 meV/atom

=====

(18)
LaCuReBr2 | meta-GGA SCAN | single point on PBEsol structure

a b c (Å): 4.731 4.731 5.683
angles (deg): 90.00 90.00 90.00
Positions (direct):
Re (0.500, 0.500, 0.500)
Br (0.000, 0.500, 0.000)
Br (0.500, 0.000, 0.000)
La (0.000, 0.000, 0.500)
Cu (0.000, 0.000, 0.000)

## Properties
Total magnetization = 3.4 μB per formula unit
Formation energy without anion corrections = 0.74 eV per atom
Total DFT energy (no corrections) = -32.92 eV/atom
DOS at the Fermi energy = 0.420 states/eV/atom

=====

(19)
TlCrSiI2 | meta-GGA SCAN | single point on PBEsol structure

a b c (Å): 5.388 5.504 5.504
angles (deg): 90.00 90.00 90.00
Positions (direct):
Cr (0.500, 0.500, 0.500)
I (0.000, 0.000, 0.500)
Tl (0.500, 0.000, 0.000)
I (0.000, 0.500, 0.000)
Si (0.000, 0.000, 0.000)

## Properties
Total magnetization = 5.8 μB per formula unit
Formation energy without anion corrections = 0.55 eV per atom
Total DFT energy (no corrections) = -34.30 eV/atom
DOS at the Fermi energy = 0.366 states/eV/atom

=====

(20)
BaLaZr2 | meta-GGA SCAN | single point on PBEsol structure

a b c (Å): 3.300 5.309 7.524
angles (deg): 93.23 90.00 108.11
Positions (direct):
Ba (0.497, 0.994, 0.479)
Zr (0.003, 0.006, 0.048)
Zr (0.741, 0.482, 0.174)
La (0.259, 0.517, 0.799)

## Properties
Total magnetization = 0.0 μB per formula unit
Relative energy among the computed polymorphs = 0.00 kcal/mol of atoms
Total DFT energy (no corrections) = -35.62 eV/atom
DOS at the Fermi energy = 0.970 states/eV/atom
E_form = 391 meV/atom